The following is a DFT calculation (GGA-PBE) of crystalline In9Ga2Hg at its relaxed geometry.

Geometry as POSCAR:
```
In9Ga2Hg
1.0
4.7777 0.0000 0.0000
0.0000 4.7777 0.0000
0.0000 0.0000 13.4626
In Ga Hg
9 2 1
direct
0.5000 0.0000 0.5000
0.5000 0.5000 0.6630
0.5000 0.0000 0.8279
0.0000 0.5000 0.1721
0.0000 0.5000 0.8279
0.5000 0.5000 0.3370
0.5000 0.5000 0.0000
0.5000 0.0000 0.1721
0.0000 0.5000 0.5000
0.0000 0.0000 0.6584
0.0000 0.0000 0.3416
0.0000 0.0000 0.0000
```

Computed properties:
- Space group: P4/mmm (123)

=====

The following is a DFT calculation (GGA-PBE) of crystalline CrRu3 at its relaxed geometry.

Geometry as POSCAR:
```
CrRu3
1.0
-1.7345 -2.0319 -0.1961
1.2328 -0.8375 -2.2258
4.5555 -4.2881 4.1366
Ru Cr
3 1
direct
0.5000 0.5000 0.2404
0.5000 0.5000 0.7596
0.0000 0.0000 0.5000
0.0000 0.0000 0.0000
```

Computed properties:
- Space group: P4/mmm (123)

=====

The following is a DFT calculation (GGA-PBE) of crystalline PmNdCuHg at its relaxed geometry.

Geometry as POSCAR:
```
PmNdCuHg
1.0
3.6746 0.0000 0.0000
0.0000 3.6746 0.0000
0.0000 0.0000 7.5434
Nd Pm Cu Hg
1 1 1 1
direct
0.5000 0.5000 0.5870
0.5000 0.5000 0.1285
0.0000 0.0000 0.3516
0.0000 0.0000 0.8609
```

Computed properties:
- Energy above the most stable polymorph in this dataset: 0.00 eV per formula unit
- Space group: P4mm (99)

=====

The evaluated calculated formation energy for the records listed, in turn: 0.04, 0.12, -0.30 eV/atom.
The evaluated volume for the records listed, in turn: 307.3, 53.8, 101.9 Å³ per cell.
The evaluated electronic total energy for the records listed, in turn: -30.49, -36.99, -15.13 eV/cell.